Zr2In3: relaxed, GGA-PBE.

- theoretical density (g/cm³) = 6.8
- calculated total energy (Ry per atom) = -0.3750
- V (A^3/atom) = 25.72
- E_form (meV per atom) = -40

Unit cell a=4.921 b=4.921 c=6.133 alpha=90.00 beta=90.00 gamma=120.00
Element x y z (fractional)
Zr1 0.333 0.667 0.360
Zr2 0.667 0.333 0.640
In1 0.000 0.000 0.500
In2 0.333 0.667 0.869
In3 0.667 0.333 0.131

***

MgTlSbS3: relaxed, GGA-PBE.

- theoretical density (g/cm³) = 4.2
- calculated total energy (Ry per atom) = -0.2985
- raw formation energy (eV per formula unit) = -3.90
- V (A^3/atom) = 29.28

Unit cell a=9.214 b=4.035 c=9.532 alpha=90.00 beta=97.46 gamma=90.00
Element x y z (fractional)
Mg1 0.103 0.250 0.090
Mg2 0.897 0.750 0.910
Tl1 0.154 0.250 0.696
Tl2 0.846 0.750 0.304
Sb1 0.368 0.750 0.356
Sb2 0.632 0.250 0.644
S1 0.170 0.750 0.969
S2 0.171 0.250 0.350
S3 0.403 0.750 0.616
S4 0.597 0.250 0.384
S5 0.829 0.750 0.650
S6 0.830 0.250 0.031

***

La4CoOs: relaxed, GGA-PBE.

- theoretical density (g/cm³) = 8.4
- calculated total energy (Ry per atom) = -0.3830
- V (A^3/atom) = 26.64
- ΔE to the lowest computed polymorph (meV per atom) = 1252
- E_form (meV per atom) = 1129

Unit cell a=6.091 b=6.091 c=6.091 alpha=60.00 beta=60.00 gamma=60.00
Element x y z (fractional)
La1 0.124 0.124 0.124
La2 0.124 0.124 0.627
La3 0.124 0.627 0.124
La4 0.627 0.124 0.124
Co1 0.500 0.500 0.500
Os1 0.750 0.750 0.750

***

Tb4Si7: relaxed, GGA-PBE.

- theoretical density (g/cm³) = 6.2
- calculated total energy (Ry per atom) = -0.4223
- raw formation energy (eV per formula unit) = -6.72
- V (A^3/atom) = 20.17
- ΔE to the lowest computed polymorph (meV per atom) = 0

Unit cell a=5.704 b=5.704 c=13.646 alpha=90.57 beta=90.57 gamma=88.23
Element x y z (fractional)
Tb1 0.119 0.621 0.627
Tb2 0.126 0.126 0.127
Tb3 0.373 0.373 0.873
Tb4 0.379 0.881 0.373
Tb5 0.621 0.119 0.627
Tb6 0.627 0.627 0.127
Tb7 0.874 0.874 0.873
Tb8 0.881 0.379 0.373
Si1 0.119 0.119 0.706
Si2 0.124 0.627 0.041
Si3 0.140 0.614 0.213
Si4 0.141 0.141 0.533
Si5 0.373 0.876 0.959
Si6 0.380 0.380 0.324
Si7 0.386 0.860 0.787
Si8 0.614 0.140 0.213
Si9 0.620 0.620 0.676
Si10 0.627 0.124 0.041
Si11 0.859 0.859 0.467
Si12 0.860 0.386 0.787
Si13 0.876 0.373 0.959
Si14 0.881 0.881 0.294

***

ZrTl2S2Br2: relaxed, GGA-PBE.

- theoretical density (g/cm³) = 5.5
- calculated total energy (Ry per atom) = -0.3397
- raw formation energy (eV per formula unit) = -7.47
- V (A^3/atom) = 31.35

Unit cell a=9.253 b=9.253 c=9.253 alpha=148.19 beta=148.19 gamma=45.61
Element x y z (fractional)
Zr1 0.000 0.000 0.000
Tl1 0.376 0.376 0.000
Tl2 0.624 0.624 0.000
S1 0.000 0.500 0.500
S2 0.500 0.000 0.500
Br1 0.160 0.160 0.000
Br2 0.840 0.840 0.000

***

NaMgN: relaxed, GGA-PBE.

- theoretical density (g/cm³) = 2.0
- calculated total energy (Ry per atom) = -0.2960
- raw formation energy (eV per formula unit) = -0.84
- V (A^3/atom) = 17.16

Unit cell a=3.614 b=3.614 c=9.318 alpha=100.73 beta=100.73 gamma=59.99
Element x y z (fractional)
Na1 0.098 0.098 0.306
Na2 0.902 0.902 0.694
Mg1 0.302 0.302 0.903
Mg2 0.698 0.698 0.097
N1 0.382 0.382 0.151
N2 0.618 0.618 0.849

***

PrNdH2: relaxed, GGA-PBE.

- theoretical density (g/cm³) = 6.8
- calculated total energy (Ry per atom) = -0.3249
- V (A^3/atom) = 17.54
- ΔE to the lowest computed polymorph (meV per atom) = 41

Unit cell a=3.696 b=3.696 c=11.863 alpha=90.00 beta=90.00 gamma=120.00
Element x y z (fractional)
Pr1 0.000 0.000 0.000
Pr2 0.000 0.000 0.500
Nd1 0.333 0.667 0.250
Nd2 0.667 0.333 0.750
H1 0.333 0.667 0.623
H2 0.333 0.667 0.877
H3 0.667 0.333 0.123
H4 0.667 0.333 0.377

***

LaThInGa: relaxed, GGA-PBE.

- theoretical density (g/cm³) = 8.2
- calculated total energy (Ry per atom) = -0.3596
- V (A^3/atom) = 28.13
- E_form (meV per atom) = -365

Unit cell a=5.419 b=5.419 c=5.419 alpha=60.00 beta=60.00 gamma=60.00
Element x y z (fractional)
La1 0.000 0.000 0.000
Th1 0.500 0.500 0.500
In1 0.750 0.750 0.750
Ga1 0.250 0.250 0.250

***

V of number 7 (PrNdH2)? 17.54 A^3/atom